No. 1
A geometry-optimized Er6Sc structure, computed with PBE.

abc: 6.3151 6.3151 10.9438
angles: 90.00 90.00 90.00
Sites, in units of the cell vectors:
Er: 0.5000 0.5000 0.1379
Er: 0.0000 0.0000 0.1379
Er: 0.0000 0.0000 0.8621
Er: 0.5000 0.5000 0.8621
Er: 0.8309 0.6691 0.3626
Er: 0.3309 0.8309 0.3626
Er: 0.6691 0.1691 0.3626
Er: 0.1691 0.3309 0.3626
Er: 0.6691 0.8309 0.6374
Er: 0.1691 0.6691 0.6374
Er: 0.8309 0.3309 0.6374
Er: 0.3309 0.1691 0.6374
Sc: 0.5000 0.0000 0.0000
Sc: 0.0000 0.5000 0.0000

Values from the calculation:
DOS(E_F) ... 18.0 states/eV/cell
Density ... 7.98 g/cm³
E_tot ... -0.3310 Ry/atom
Formation energy ... 30 kJ/mol of atoms
V ... 31.2 Å³ per atom
Space group ... P4/nbm, No. 125
Total magnetization ... 0.061 μB/f.u.



No. 2
A geometry-optimized ErSc2 structure, computed with PBE.

abc: 3.4017 5.2976 8.9937
angles: 90.00 100.90 90.00
Sites, in units of the cell vectors:
Er: 0.1112 0.2500 0.2224
Er: 0.8888 0.7500 0.7776
Sc: 0.4439 0.2500 0.8877
Sc: 0.5561 0.7500 0.1123
Sc: 0.7782 0.2500 0.5564
Sc: 0.2218 0.7500 0.4436

Values from the calculation:
DOS(E_F) ... 11.6 states/eV/cell
Density ... 5.37 g/cm³
E_tot ... -0.4207 Ry/atom
Formation energy ... 2 kJ/mol of atoms
V ... 26.5 Å³ per atom
Space group ... Cmcm, No. 63
Total magnetization ... 0.010 μB/f.u.



No. 3
A geometry-optimized Er2Sc structure, computed with PBE.

abc: 3.3752 5.7330 5.7330
angles: 58.35 72.88 72.88
Sites, in units of the cell vectors:
Er: 0.1886 0.3114 0.3114
Er: 0.8114 0.6886 0.6886
Sc: 0.0000 0.0000 0.0000

Values from the calculation:
DOS(E_F) ... 5.7 states/eV/cell
Density ... 7.09 g/cm³
E_tot ... -0.3646 Ry/atom
Formation energy ... 19 kJ/mol of atoms
V ... 29.6 Å³ per atom
Space group ... Immm, No. 71
Total magnetization ... 0.000 μB/f.u.



No. 4
A geometry-optimized Er7Sc5 structure, computed with PBE.

abc: 3.5105 8.6385 11.6218
angles: 79.71 81.31 78.28
Sites, in units of the cell vectors:
Er: 0.9892 0.0457 0.9759
Er: 0.4178 0.9184 0.2460
Er: 0.8358 0.8206 0.5078
Er: 0.2542 0.7166 0.7749
Er: 0.0855 0.5539 0.2751
Er: 0.4912 0.4698 0.5479
Er: 0.1876 0.1720 0.4528
Sc: 0.6323 0.7057 0.0297
Sc: 0.9271 0.3635 0.7823
Sc: 0.2992 0.4072 0.9944
Sc: 0.7728 0.2527 0.2017
Sc: 0.6073 0.0739 0.7115

Values from the calculation:
DOS(E_F) ... 18.9 states/eV/cell
Density ... 6.87 g/cm³
E_tot ... -0.3866 Ry/atom
Formation energy ... 4 kJ/mol of atoms
V ... 28.1 Å³ per atom
Space group ... Cm, No. 8
Total magnetization ... 0.006 μB/f.u.



No. 5
A geometry-optimized Er8Sc3 structure, computed with PBE.

abc: 5.2746 5.2746 15.4717
angles: 80.19 80.19 60.00
Sites, in units of the cell vectors:
Er: 0.1837 0.1837 0.4488
Er: 0.3152 0.3152 0.0543
Er: 0.6848 0.6848 0.9457
Er: 0.8163 0.8163 0.5512
Er: 0.6120 0.6120 0.1639
Er: 0.1040 0.1040 0.6879
Er: 0.8960 0.8960 0.3121
Er: 0.3880 0.3880 0.8361
Sc: 0.2484 0.2484 0.2549
Sc: 0.7516 0.7516 0.7451
Sc: 0.0000 0.0000 0.0000

Values from the calculation:
DOS(E_F) ... 14.9 states/eV/cell
Density ... 6.69 g/cm³
E_tot ... -0.3301 Ry/atom
Formation energy ... 53 kJ/mol of atoms
V ... 33.2 Å³ per atom
Space group ... R-3m, No. 166
Total magnetization ... 0.000 μB/f.u.



No. 6
A geometry-optimized Er2Sc structure, computed with PBE.

abc: 5.6077 6.1523 8.3287
angles: 42.38 70.33 62.89
Sites, in units of the cell vectors:
Er: 0.9223 0.9050 0.2503
Er: 0.2527 0.2451 0.2494
Er: 0.7473 0.7549 0.7506
Er: 0.0777 0.0950 0.7497
Sc: 0.5784 0.5929 0.2502
Sc: 0.4216 0.4071 0.7498

Values from the calculation:
DOS(E_F) ... 14.2 states/eV/cell
Density ... 7.31 g/cm³
E_tot ... -0.3688 Ry/atom
Formation energy ... 13 kJ/mol of atoms
V ... 28.7 Å³ per atom
Space group ... Cmcm, No. 63
Total magnetization ... 0.001 μB/f.u.



No. 7
A geometry-optimized Er3Sc8 structure, computed with PBE.

abc: 6.7853 6.7853 6.7853
angles: 93.54 93.54 93.54
Sites, in units of the cell vectors:
Er: 0.5000 0.0000 0.5000
Er: 0.0000 0.5000 0.5000
Er: 0.5000 0.5000 0.0000
Sc: 0.9376 0.3065 0.0916
Sc: 0.3065 0.0916 0.9376
Sc: 0.0916 0.9376 0.3065
Sc: 0.3516 0.3516 0.3516
Sc: 0.6484 0.6484 0.6484
Sc: 0.9084 0.0624 0.6935
Sc: 0.6935 0.9084 0.0624
Sc: 0.0624 0.6935 0.9084

Values from the calculation:
DOS(E_F) ... 21.3 states/eV/cell
Density ... 4.61 g/cm³
E_tot ... -0.3851 Ry/atom
Formation energy ... 59 kJ/mol of atoms
V ... 28.2 Å³ per atom
Space group ... R-3, No. 148
Total magnetization ... 0.027 μB/f.u.



No. 8
A geometry-optimized Er8Sc structure, computed with PBE.

abc: 4.9145 7.7853 7.7853
angles: 84.28 71.60 71.60
Sites, in units of the cell vectors:
Er: 0.3351 0.0000 0.3298
Er: 0.6649 0.0000 0.6702
Er: 0.6649 0.6702 0.0000
Er: 0.0000 0.6685 0.3315
Er: 0.3315 0.6685 0.6685
Er: 0.6685 0.3315 0.3315
Er: 0.0000 0.3315 0.6685
Er: 0.3351 0.3298 0.0000
Sc: 0.0000 0.0000 0.0000

Values from the calculation:
DOS(E_F) ... 12.7 states/eV/cell
Density ... 8.56 g/cm³
E_tot ... -0.3474 Ry/atom
Formation energy ... 3 kJ/mol of atoms
V ... 29.8 Å³ per atom
Space group ... I4/mmm, No. 139
Total magnetization ... 0.000 μB/f.u.